1.
# AlTcB2Ir | the Alexandria database | PBE | optimized geometry
data_AlTcB2Ir
_space_group_name_H-M_alt 'P 1'
_space_group_IT_number 1
_cell_length_a 3.9876
_cell_length_b 3.9876
_cell_length_c 4.9104
_cell_angle_alpha 90.00
_cell_angle_beta 90.00
_cell_angle_gamma 90.00
loop_
_space_group_symop_operation_xyz
'x,y,z'
loop_
_atom_site_label
_atom_site_fract_x
_atom_site_fract_y
_atom_site_fract_z
Tc1 0.5000 0.5000 0.5000
B1 0.0000 0.5000 0.0000
B2 0.5000 0.0000 0.0000
Al1 0.0000 0.0000 0.5000
Ir1 0.0000 0.0000 0.0000
# space group = No. 123
# spin magnetization = 2.58 μB per formula unit
# N(E_F) = 3.165 states/eV/f.u.
# ΔE_f = 93.00 kJ/mol of atoms

=====

2.
# Pm7MgSn5 | the Alexandria database | PBE | optimized geometry
data_Pm7MgSn5
_space_group_name_H-M_alt 'P 1'
_space_group_IT_number 1
_cell_length_a 6.4775
_cell_length_b 8.4530
_cell_length_c 8.4530
_cell_angle_alpha 83.09
_cell_angle_beta 67.47
_cell_angle_gamma 67.47
loop_
_space_group_symop_operation_xyz
'x,y,z'
loop_
_atom_site_label
_atom_site_fract_x
_atom_site_fract_y
_atom_site_fract_z
Pm1 0.0049 0.3297 0.6606
Pm2 0.6340 0.3660 0.3660
Pm3 0.2798 0.2202 0.2202
Pm4 0.5196 0.8117 0.1491
Pm5 0.0049 0.6606 0.3297
Pm6 0.2796 0.7204 0.7204
Pm7 0.5196 0.1491 0.8117
Mg1 0.9588 0.0412 0.0412
Sn1 0.5123 0.9998 0.4817
Sn2 0.0063 0.4817 0.9998
Sn3 0.0063 0.9998 0.4817
Sn4 0.7618 0.7382 0.7382
Sn5 0.5123 0.4817 0.9998
# space group = No. 44
# spin magnetization = 0.00 μB per formula unit
# N(E_F) = 12.316 states/eV/f.u.
# ΔE_f = -43.50 kJ/mol of atoms

=====

3.
# Pm2Sm3Ho4 | the Alexandria database | PBE | optimized geometry
data_Pm2Sm3Ho4
_space_group_name_H-M_alt 'P 1'
_space_group_IT_number 1
_cell_length_a 6.2099
_cell_length_b 8.0175
_cell_length_c 6.2098
_cell_angle_alpha 104.89
_cell_angle_beta 80.53
_cell_angle_gamma 97.49
loop_
_space_group_symop_operation_xyz
'x,y,z'
loop_
_atom_site_label
_atom_site_fract_x
_atom_site_fract_y
_atom_site_fract_z
Sm1 0.8894 0.7778 0.4430
Sm2 0.1106 0.2222 0.5570
Sm3 0.0000 0.0000 0.0000
Ho1 0.2244 0.4453 0.1101
Ho2 0.5540 0.1114 0.7775
Ho3 0.4460 0.8886 0.2225
Ho4 0.7756 0.5547 0.8899
Pm1 0.3323 0.6669 0.6676
Pm2 0.6677 0.3331 0.3324
# space group = No. 2
# spin magnetization = 0.00 μB per formula unit
# N(E_F) = 13.277 states/eV/f.u.
# ΔE_f = 1.77 kJ/mol of atoms
# energy above the lowest structure with this stoichiometry = 0 kJ/mol of formula units

=====

4.
# Li2SbTe | the Alexandria database | PBE | optimized geometry
data_Li2SbTe
_space_group_name_H-M_alt 'P 1'
_space_group_IT_number 1
_cell_length_a 5.4779
_cell_length_b 3.0426
_cell_length_c 5.4998
_cell_angle_alpha 90.00
_cell_angle_beta 90.00
_cell_angle_gamma 90.00
loop_
_space_group_symop_operation_xyz
'x,y,z'
loop_
_atom_site_label
_atom_site_fract_x
_atom_site_fract_y
_atom_site_fract_z
Li1 0.0000 0.1261 0.8748
Li2 0.5000 0.1234 0.3762
Sb1 0.0000 0.6248 0.3743
Te1 0.5000 0.6257 0.8747
# space group = No. 25
# spin magnetization = 0.00 μB per formula unit
# formation energy without anion corrections = -1.9 eV/f.u.
# N(E_F) = 0.684 states/eV/f.u.
# energy above the lowest structure with this stoichiometry = 19 kJ/mol of formula units

=====

5.
# Y2ScSb | the Alexandria database | PBE | optimized geometry
data_Y2ScSb
_space_group_name_H-M_alt 'P 1'
_space_group_IT_number 1
_cell_length_a 3.9895
_cell_length_b 3.9895
_cell_length_c 9.3329
_cell_angle_alpha 77.66
_cell_angle_beta 77.66
_cell_angle_gamma 60.00
loop_
_space_group_symop_operation_xyz
'x,y,z'
loop_
_atom_site_label
_atom_site_fract_x
_atom_site_fract_y
_atom_site_fract_z
Y1 0.0711 0.0711 0.7866
Y2 0.2622 0.2622 0.2134
Sc1 0.5004 0.5004 0.4987
Sb1 0.6662 0.6662 0.0013
# space group = No. 160
# spin magnetization = 0.68 μB per formula unit
# formation energy without anion corrections = -1.1 eV/f.u.
# N(E_F) = 5.660 states/eV/f.u.

=====

6.
# LaMgTc2Se | the Alexandria database | PBE | optimized geometry
data_LaMgTc2Se
_space_group_name_H-M_alt 'P 1'
_space_group_IT_number 1
_cell_length_a 4.7367
_cell_length_b 4.8219
_cell_length_c 4.7367
_cell_angle_alpha 90.00
_cell_angle_beta 90.00
_cell_angle_gamma 90.00
loop_
_space_group_symop_operation_xyz
'x,y,z'
loop_
_atom_site_label
_atom_site_fract_x
_atom_site_fract_y
_atom_site_fract_z
La1 0.5000 0.5000 0.5000
Tc1 0.5000 0.0000 0.0000
Tc2 0.0000 0.0000 0.5000
Se1 0.0000 0.0000 0.0000
Mg1 0.0000 0.5000 0.0000
# space group = No. 123
# spin magnetization = 0.00 μB per formula unit
# formation energy without anion corrections = 1.9 eV/f.u.
# N(E_F) = 6.199 states/eV/f.u.

=====

7.
# Ca2SbHOs | the Alexandria database | PBE | optimized geometry
data_Ca2SbHOs
_space_group_name_H-M_alt 'P 1'
_space_group_IT_number 1
_cell_length_a 5.7334
_cell_length_b 3.4174
_cell_length_c 5.7334
_cell_angle_alpha 90.00
_cell_angle_beta 90.00
_cell_angle_gamma 90.00
loop_
_space_group_symop_operation_xyz
'x,y,z'
loop_
_atom_site_label
_atom_site_fract_x
_atom_site_fract_y
_atom_site_fract_z
Os1 0.0000 0.0000 0.0000
Sb1 0.5000 0.5000 0.5000
Ca1 0.5000 0.0000 0.0000
Ca2 0.0000 0.0000 0.5000
H1 0.0000 0.5000 0.0000
# space group = No. 123
# spin magnetization = 1.12 μB per formula unit
# N(E_F) = 4.021 states/eV/f.u.
# E = -4.364 eV/atom

=====

8.
# Pu2TaN4 | the Alexandria database | PBE | optimized geometry
data_Pu2TaN4
_space_group_name_H-M_alt 'P 1'
_space_group_IT_number 1
_cell_length_a 3.2075
_cell_length_b 5.5277
_cell_length_c 6.2032
_cell_angle_alpha 61.22
_cell_angle_beta 90.00
_cell_angle_gamma 73.12
loop_
_space_group_symop_operation_xyz
'x,y,z'
loop_
_atom_site_label
_atom_site_fract_x
_atom_site_fract_y
_atom_site_fract_z
N1 0.0694 0.8613 0.3758
N2 0.6558 0.6885 0.0698
N3 0.9306 0.1387 0.6242
N4 0.3442 0.3115 0.9302
Ta1 0.0000 0.0000 0.0000
Pu1 0.6598 0.6802 0.6924
Pu2 0.3402 0.3198 0.3076
# space group = No. 12
# spin magnetization = 8.41 μB per formula unit
# formation energy without anion corrections = -7.1 eV/f.u.
# N(E_F) = 10.132 states/eV/f.u.
# energy above the lowest structure with this stoichiometry = 0 kJ/mol of formula units